Computed, not measured: crystalline CsBi12Ir4 at its relaxed geometry at the PBE level of DFT.

```
CsBi12Ir4
1.0
-8.114 -0.564 2.715
0.707 -3.730 -7.688
5.164 -3.959 5.584
Bi Cs Ir
12 1 4
Cartesian
0.887 -4.584 -4.068 Bi
-3.129 -3.669 4.679 Bi
-0.055 -6.028 -1.419 Bi
1.705 -4.192 4.227 Bi
-3.770 -4.913 0.001 Bi
-5.644 -2.458 0.672 Bi
-1.583 -2.690 -2.029 Bi
1.527 -3.340 0.610 Bi
-0.660 -5.563 2.640 Bi
-2.188 -2.226 2.030 Bi
3.401 -5.795 -0.062 Bi
-3.947 -4.061 -3.617 Bi
0.000 0.000 0.000 Cs
0.354 -1.865 -3.844 Ir
2.582 -1.980 2.792 Ir
-4.057 -0.282 1.357 Ir
-1.121 -4.127 0.305 Ir
```

## Properties
crystal system: cubic
energy of formation: -82 meV/atom
space group: Im-3, No. 204
total DFT energy (no corrections): -84.3 eV per formula unit

---

Computed, not measured: crystalline CsBiMo2Ir at its relaxed geometry at the PBE level of DFT.

```
CsBiMo2Ir
1.0
-2.667 -3.500 -2.504
-1.580 -1.937 4.391
-4.002 3.101 -0.071
Mo Ir Cs Bi
2 1 1 1
Cartesian
-2.001 1.550 -0.036 Mo
-1.334 -1.750 -1.252 Mo
-0.790 -0.969 2.196 Ir
0.000 0.000 0.000 Cs
-4.124 -1.168 0.908 Bi
```

## Properties
crystal system: tetragonal
energy of formation: 2910 meV/atom
space group: P4/mmm, No. 123
total DFT energy (no corrections): -20.7 eV per formula unit

---

Computed, not measured: crystalline CsBi2IrO8 at its relaxed geometry at the PBE level of DFT.

```
CsBi2IrO8
1.0
5.756 -0.363 -0.120
-0.250 4.155 0.628
-0.194 1.055 7.703
O Cs Ir Bi
8 1 1 2
Cartesian
2.832 1.054 3.902 O
0.233 2.844 1.918 O
5.080 2.002 6.293 O
0.786 4.496 7.063 O
4.526 0.351 1.148 O
2.481 3.793 4.309 O
3.520 4.026 7.566 O
1.793 0.820 0.645 O
-0.097 0.528 3.851 Cs
0.000 0.000 0.000 Ir
2.798 1.933 6.260 Bi
2.514 2.914 1.951 Bi
```

## Properties
crystal system: triclinic
space group: P-1, No. 2
total DFT energy (no corrections): -67.0 eV per formula unit
E_form (uncorrected): -0.822 eV/atom

---

Computed, not measured: crystalline CsK2Bi2 at its relaxed geometry at the PBE level of DFT.

```
CsK2Bi2
1.0
-2.906 5.078 0.208
-2.170 -1.023 -5.340
-8.304 -1.395 0.433
K Bi Cs
2 2 1
Cartesian
-6.874 2.855 -0.963 K
-6.506 -0.195 -3.737 K
-9.685 1.319 -2.735 Bi
-3.695 1.341 -1.964 Bi
0.000 0.000 0.000 Cs
```

## Properties
excess energy over the best structure of this formula in the dataset: 11 meV per atom
crystal system: tetragonal
energy of formation: -285 meV/atom
space group: I4/mmm, No. 139
total DFT energy (no corrections): -12.2 eV per formula unit

---

Computed, not measured: crystalline Cs2K3Bi2 at its relaxed geometry at the PBE level of DFT.

```
Cs2K3Bi2
1.0
-4.879 0.248 -3.758
3.025 -5.378 0.771
-6.680 0.935 8.733
Cs K Bi
2 3 2
Cartesian
-2.489 -0.995 3.166 Cs
-6.044 -3.200 2.581 Cs
-5.408 -2.214 6.874 K
0.000 0.000 0.000 K
-3.125 -1.981 -1.128 K
-0.985 -4.057 1.011 Bi
-7.548 -0.138 4.736 Bi
```

## Properties
crystal system: monoclinic
energy of formation: -290 meV/atom
space group: C2/m, No. 12
total DFT energy (no corrections): -14.8 eV per formula unit

---

Computed, not measured: crystalline Cs2KBi2 at its relaxed geometry at the PBE level of DFT.

```
Cs2KBi2
1.0
7.674 0.000 0.000
-3.837 6.616 0.209
0.000 -2.691 10.508
Cs Bi K
4 4 2
Cartesian
4.999 0.262 6.873 Cs
1.161 2.317 9.098 Cs
-1.161 3.663 3.844 Cs
2.676 1.607 1.619 Cs
-2.592 1.955 10.602 Bi
2.592 3.301 5.348 Bi
1.245 0.624 5.369 Bi
6.429 1.970 0.115 Bi
0.811 -2.018 7.881 K
6.864 -0.673 2.627 K
```

## Properties
excess energy over the best structure of this formula in the dataset: 0 meV per atom
crystal system: monoclinic
energy of formation: -325 meV/atom
space group: C2/c, No. 15
total DFT energy (no corrections): -12.2 eV per formula unit

---

| no. | calculated density (Mg/m³) | size of the total moment (Bohr magnetons per cell) |
| --- | --- | --- |
| 1 | 11.67 | 0.0 |
| 2 | 9.31 | 4.3 |
| 3 | 8.05 | 0.0 |
| 4 | 4.15 | 0.0 |
| 5 | 3.81 | 1.1 |
| 6 | 4.46 | 2.1 |